5
Lattice="6.0875 0.0000 0.0000 0.0000 6.0875 0.0000 0.0000 0.0000 6.0875" Properties=species:S:1:pos:R:3 comment="NpI4 (PBE, relaxed)" dos_at_fermi_per_ev_cell=16.44 magnetic_moment_mub_per_fu=2.95 relative_energy_ev_per_atom=0.3326 space_group="Pm-3m (221)" pbc="T T T"
Np 3.0437 3.0437 3.0437
I 0.0000 0.0000 0.0000
I 3.0437 0.0000 3.0437
I 0.0000 3.0437 3.0437
I 3.0437 3.0437 0.0000

=====

10
Lattice="-5.8034 -3.0947 3.9962 3.3309 2.8036 7.5425 -2.5967 7.8201 2.8192" Properties=species:S:1:pos:R:3 comment="NpI4 (PBE, relaxed)" dos_at_fermi_per_ev_cell=16.18 magnetic_moment_mub_per_fu=3.00 relative_energy_ev_per_atom=0.0000 space_group="C2/c (15)" pbc="T T T"
Np -1.8833 5.2149 5.5428
Np -3.1859 2.3142 8.8151
I -1.5539 2.2163 6.2390
I 0.6981 5.7501 7.1660
I -3.5153 5.3128 8.1189
I -5.7672 1.7790 7.1919
I -2.2883 8.0564 5.2399
I -4.0737 4.5698 3.7775
I -2.7809 -0.5274 9.1180
I -0.9955 2.9592 10.5803

=====

4
Lattice="-1.4266 -0.5510 -4.2305 -2.5036 -5.4511 1.5542 -5.3326 6.2503 0.9843" Properties=species:S:1:pos:R:3 comment="NpI3 (PBE, relaxed)" dos_at_fermi_per_ev_cell=6.67 magnetic_moment_mub_per_fu=4.00 space_group="Cmmm (65)" energy_ev_per_cell=-20.92 pbc="T T T"
Np -4.0055 1.4869 -1.2346
I -1.4496 0.7755 0.3879
I -5.2573 -1.2386 -0.4575
I -5.1348 2.7493 1.3735

=====

10
Lattice="6.9981 0.0000 0.0000 0.0000 6.9981 0.0000 0.0000 0.0000 7.5142" Properties=species:S:1:pos:R:3 comment="NpI4 (PBE, relaxed)" dos_at_fermi_per_ev_cell=22.44 magnetic_moment_mub_per_fu=3.04 relative_energy_ev_per_atom=0.1920 space_group="P-42_1c (114)" pbc="T T T"
Np 0.0000 0.0000 0.0000
Np 3.4990 3.4990 3.7571
I 1.2609 1.7485 2.6045
I 5.7372 5.2496 2.6045
I 1.7485 5.7372 4.9097
I 5.2496 1.2609 4.9097
I 2.2382 5.2476 1.1526
I 4.7599 1.7505 1.1526
I 1.7505 2.2382 6.3616
I 5.2476 4.7599 6.3616